TcPtPb2: optimized geometry, PBE.

Values from the calculation:
Excess energy over the best structure of this formula in the dataset, eV/atom: 0.182
Formation enthalpy at 0 K, meV per atom: 411
Mass density, g/cm³: 14.8
Electronic total energy, eV/cell: -22.18
Magnetic moment, μB per atom: 0.001

a b c (Å): 4.807 4.807 3.449
angles (deg): 90.25 90.25 93.82
Fractional coordinates of all 4 atoms:
Tc1 0.000 0.000 0.000
Pt1 0.500 0.500 0.000
Pb1 0.000 0.500 0.500
Pb2 0.500 0.000 0.500